Tb4MgCo after structural relaxation. Source: Alexandria via LeMat-Bulk, functional GGA-PBEsol.

abc: 13.3471 13.3471 13.3471
angles: 90.00 90.00 90.00
Closest atoms and distances in Å follow each position.
Space group F-43m (No. 216)
Asymmetric unit:
Tb  0.0000  0.0000  0.1862  2 Co 2.73
Tb  0.0621  0.2500  0.7500  2 Mg 3.23, 2 Co 3.40, 10 Tb 3.41-3.55
Tb  0.1558  0.1558  0.3442  3 Co 2.73
Mg  0.0795  0.0795  0.5795  3 Mg 3.00, 3 Tb 3.23
Co  0.1409  0.1409  0.1409  6 Tb 2.73

Calculated values
DFT formation energy, eV/atom: -0.140

***

Al5Ag7 after structural relaxation. Source: Alexandria via LeMat-Bulk, functional GGA-PBEsol.

abc: 2.9098 2.9098 26.5331
angles: 90.00 90.00 120.00
Closest atoms and distances in Å follow each position.
Space group P3m1 (No. 156)
Asymmetric unit:
Al  0.0000  0.0000  0.0000  6 Ag 2.72-2.77, 6 Al 2.91
Al  0.0000  0.0000  0.2479  3 Ag 2.74, 9 Al 2.78-2.91
Al  0.0000  0.0000  0.7495  6 Ag 2.73, 6 Al 2.91
Al  0.3333  0.6667  0.1644  3 Ag 2.74, 9 Al 2.78-2.91
Al  0.3333  0.6667  0.4122  6 Ag 2.72-2.76, 6 Al 2.91
Ag  0.0000  0.0000  0.4926  3 Al 2.72, 9 Ag 2.87-2.91
Ag  0.3333  0.6667  0.6683  3 Al 2.73, 9 Ag 2.87-2.91
Ag  0.3333  0.6667  0.9194  3 Al 2.72, 9 Ag 2.89-2.91
Ag  0.6667  0.3333  0.0829  6 Al 2.74-2.77, 6 Ag 2.91
Ag  0.6667  0.3333  0.3294  6 Al 2.74-2.76, 6 Ag 2.91
Ag  0.6667  0.3333  0.5805  12 Ag 2.87-2.91
Ag  0.6667  0.3333  0.8307  3 Al 2.73, 9 Ag 2.89-2.91

Calculated values
DFT formation energy, eV/atom: -0.061

***

Sr2TcNi after structural relaxation. Source: Alexandria via LeMat-Bulk, functional GGA-PBEsol.

abc: 7.2150 7.2150 7.2150
angles: 90.00 90.00 90.00
Closest atoms and distances in Å follow each position.
Space group Fm-3m (No. 225)
Asymmetric unit:
Sr  0.2500  0.2500  0.2500  4 Tc 3.12, 4 Ni 3.12
Tc  0.0000  0.0000  0.0000  8 Sr 3.12
Ni  0.0000  0.0000  0.5000  8 Sr 3.12

Calculated values
DFT formation energy, eV/atom: 0.965

***

Ba8Cu4Hg4O17 after structural relaxation. Source: Alexandria via LeMat-Bulk, functional GGA-PBEsol.

abc: 15.2582 7.6331 10.2592
angles: 90.00 111.84 90.00
Closest atoms and distances in Å follow each position.
Space group C2/m (No. 12)
Asymmetric unit:
Ba  0.0704  0.0000  0.2811  9 O 2.68-2.86
Ba  0.0731  0.5000  0.2936  8 O 2.72-2.80
Ba  0.1774  0.0000  0.7079  8 O 2.75-2.81
Ba  0.1772  0.5000  0.7102  8 O 2.73-2.81
Cu  0.0000  0.2474  0.5000  4 O 1.89-1.93
Cu  0.2500  0.2500  0.5000  4 O 1.91
Hg  0.1195  0.2399  0.9999  2 O 2.02
O  0.0000  0.0000  0.0000  4 Hg 2.58, 2 Ba 2.68
O  0.0000  0.0000  0.5000  2 Cu 1.89
O  0.0000  0.5000  0.5000  2 Cu 1.93
O  0.0733  0.2528  0.7880  1 Hg 2.02
O  0.1253  0.2546  0.5013  2 Cu 1.91
O  0.1791  0.2539  0.2118  1 Hg 2.02
O  0.2503  0.0000  0.4999  2 Cu 1.91

Calculated values
Formation energy (no corrections), eV/atom: -1.575

***

MgIr2Rh after structural relaxation. Source: Alexandria via LeMat-Bulk, functional GGA-PBEsol.

abc: 5.4119 7.7364 2.7070
angles: 90.00 90.00 90.00
Closest atoms and distances in Å follow each position.
Space group Cmmm (No. 65)
Asymmetric unit:
Mg  0.0000  0.0000  0.0000  2 Rh 2.71, 2 Mg 2.71, 8 Ir 2.72
Ir  0.2500  0.2500  0.5000  4 Ir 2.71, 4 Rh 2.72, 4 Mg 2.72
Rh  0.0000  0.5000  0.0000  2 Mg 2.71, 2 Rh 2.71, 8 Ir 2.72

Calculated values
DFT formation energy, eV/atom: -0.148

***

Sc2CoPb after structural relaxation. Source: Alexandria via LeMat-Bulk, functional GGA-PBEsol.

abc: 3.1517 3.1517 7.7056
angles: 90.00 90.00 90.00
Closest atoms and distances in Å follow each position.
Space group P4/mmm (No. 123)
Asymmetric unit:
Sc  0.0000  0.0000  0.1937  4 Co 2.68, 1 Sc 2.98
Co  0.5000  0.5000  0.0000  8 Sc 2.68
Pb  0.5000  0.5000  0.5000  4 Pb 3.15, 8 Sc 3.25

Calculated values
DFT formation energy, eV/atom: -0.358

***

ZnIn3Ag after structural relaxation. Source: Alexandria via LeMat-Bulk, functional GGA-PBEsol.

abc: 5.2129 5.2129 5.2129
angles: 90.00 90.00 90.00
Closest atoms and distances in Å follow each position.
Space group Pm-3m (No. 221)
Asymmetric unit:
Zn  0.0000  0.0000  0.0000  12 In 3.69
In  0.0000  0.5000  0.5000  2 Ag 2.61
Ag  0.5000  0.5000  0.5000  6 In 2.61

Calculated values
DFT formation energy, eV/atom: 0.405

***

MnReAs2 after structural relaxation. Source: Alexandria via LeMat-Bulk, functional GGA-PBEsol.

abc: 4.2300 4.2300 3.0106
angles: 90.00 90.00 90.00
Closest atoms and distances in Å follow each position.
Space group P4/mmm (No. 123)
Asymmetric unit:
Mn  0.0000  0.0000  0.0000  8 As 2.60
Re  0.5000  0.5000  0.0000  8 As 2.60
As  0.0000  0.5000  0.5000  4 Mn 2.60, 4 Re 2.60

Calculated values
DFT formation energy, eV/atom: 0.173